1.
VASP calculation (PBE) on crystalline TlP2NCl at its relaxed geometry.

## Properties
* energy above the lowest structure with this stoichiometry: 1616 meV per atom
* E_tot: -2.395 eV per atom
* volume: 139 Å³/cell
* size of the total moment: 0.001 μB per atom

Lattice parameters (Å, degrees): 5.2090 5.2090 5.1149 90.00 90.00 90.00
Last column: nearest neighbours and their distance in Å.
Fractional coordinates of all 5 atoms:
Tl: 0.0000 0.0000 0.0000  2 Cl 2.56, 4 P 2.60
P: 0.0000 0.5000 0.0000  2 Tl 2.60
P: 0.5000 0.0000 0.0000  2 Tl 2.60
N: 0.5000 0.5000 0.5000  8 P 3.65, 4 Cl 3.68
Cl: 0.0000 0.0000 0.5000  2 Tl 2.56

2.
VASP calculation (PBE) on crystalline TlP2NCl at its relaxed geometry.

## Properties
* energy above the lowest structure with this stoichiometry: 0 meV per atom
* E_tot: -4.011 eV per atom
* volume: 114 Å³/cell
* size of the total moment: 0.083 μB per atom

Lattice parameters (Å, degrees): 3.9805 3.9805 7.1792 90.00 90.00 90.00
Last column: nearest neighbours and their distance in Å.
Fractional coordinates of all 5 atoms:
Tl: 0.0000 0.0000 0.0000  4 Cl 2.81
P: 0.0000 0.5000 0.5000  2 N 1.99
P: 0.5000 0.0000 0.5000  2 N 1.99
N: 0.5000 0.5000 0.5000  4 P 1.99
Cl: 0.5000 0.5000 0.0000  4 Tl 2.81

3.
VASP calculation (PBE) on crystalline VP2NCl at its relaxed geometry.

## Properties
* energy above the lowest structure with this stoichiometry: 105 meV per atom
* E_tot: -4.932 eV per atom
* volume: 100 Å³/cell
* size of the total moment: 0.559 μB per atom

Lattice parameters (Å, degrees): 4.5194 4.5194 4.8985 90.00 90.00 90.00
Last column: nearest neighbours and their distance in Å.
Fractional coordinates of all 5 atoms:
V: 0.0000 0.0000 0.0000  4 P 2.26, 2 Cl 2.45
P: 0.0000 0.5000 0.0000  2 V 2.26
P: 0.5000 0.0000 0.0000  2 V 2.26
N: 0.5000 0.5000 0.5000  4 Cl 3.20, 8 P 3.33
Cl: 0.0000 0.0000 0.5000  2 V 2.45